Here is a relaxed AsICl crystal from the Alexandria database. Energies are from PBE-GGA.

The size of the total moment is 0.00 μB per formula unit. Its density of states at the Fermi level is 0.000 states/eV/cell. The offset from the most stable computed form comes out at 0.0000 eV per atom.

It has space group P-1 (No. 2), with a = 5.862 Å, b = 7.247 Å, c = 7.452 Å, α = 73.61°, β = 68.70° and γ = 78.18°. The inequivalent atoms are As at (0.038, 0.176, 0.429), I at (0.133, 0.747, 0.224) and Cl at (0.297, 0.744, 0.663).